No. 1
Y2FeBr | SCAN | PBEsol geometry

## Properties
Offset from the most stable computed form = 0.2248 eV per atom
Final energy = -375.20 eV/cell
Formation energy from raw total energies = -131.5 meV/atom

Cell: 7.005 7.005 7.005 Å, 90.00 90.00 90.00°
Fractional positions:
Y1 0.250 0.250 0.250
Y2 0.250 0.250 0.750
Y3 0.250 0.750 0.250
Y4 0.250 0.750 0.750
Y5 0.750 0.250 0.250
Y6 0.750 0.250 0.750
Y7 0.750 0.750 0.250
Y8 0.750 0.750 0.750
Fe1 0.000 0.000 0.000
Fe2 0.000 0.500 0.500
Fe3 0.500 0.000 0.500
Fe4 0.500 0.500 0.000
Br1 0.000 0.000 0.500
Br2 0.000 0.500 0.000
Br3 0.500 0.000 0.000
Br4 0.500 0.500 0.500

No. 2
ZrFeBr | SCAN | PBEsol geometry

## Properties
Final energy = -136.24 eV/cell
Formation energy from raw total energies = 56.7 meV/atom

Cell: 3.221 3.221 10.152 Å, 90.00 90.00 90.00°
Fractional positions:
Zr1 0.000 0.000 0.000
Zr2 0.500 0.500 0.500
Fe1 0.000 0.000 0.372
Fe2 0.500 0.500 0.872
Br1 0.000 0.000 0.702
Br2 0.500 0.500 0.202

No. 3
Zr2FeBr | SCAN | PBEsol geometry

## Properties
Final energy = -200.98 eV/cell
Formation energy from raw total energies = -376.4 meV/atom

Cell: 6.238 3.649 7.333 Å, 90.00 106.38 90.00°
Fractional positions:
Zr1 0.229 0.000 0.183
Zr2 0.271 0.500 0.817
Zr3 0.729 0.500 0.183
Zr4 0.771 0.000 0.817
Fe1 0.000 0.500 0.000
Fe2 0.500 0.000 0.000
Br1 0.000 0.000 0.500
Br2 0.500 0.500 0.500

No. 4
GaBr2 | SCAN | PBEsol geometry

## Properties
Final energy = -460.59 eV/cell
Formation energy from raw total energies = -769.4 meV/atom

Cell: 7.423 9.778 9.928 Å, 90.00 90.00 90.00°
Fractional positions:
Ga1 0.143 0.250 0.250
Ga2 0.250 0.000 0.679
Ga3 0.250 0.500 0.821
Ga4 0.357 0.750 0.250
Ga5 0.643 0.250 0.750
Ga6 0.750 0.000 0.321
Ga7 0.750 0.500 0.179
Ga8 0.857 0.750 0.750
Br1 0.003 0.544 0.314
Br2 0.003 0.956 0.186
Br3 0.164 0.689 0.952
Br4 0.164 0.811 0.548
Br5 0.336 0.189 0.548
Br6 0.336 0.311 0.952
Br7 0.497 0.044 0.186
Br8 0.497 0.456 0.314
Br9 0.503 0.544 0.686
Br10 0.503 0.956 0.814
Br11 0.664 0.689 0.048
Br12 0.664 0.811 0.452
Br13 0.836 0.189 0.452
Br14 0.836 0.311 0.048
Br15 0.997 0.044 0.814
Br16 0.997 0.456 0.686

No. 5
GaBr2 | SCAN | PBEsol geometry

## Properties
Final energy = -690.83 eV/cell
Formation energy from raw total energies = -768.0 meV/atom

Cell: 12.537 12.537 12.537 Å, 115.12 115.12 115.12°
Fractional positions:
Ga1 0.051 0.821 0.628
Ga2 0.112 0.494 0.279
Ga3 0.128 0.321 0.551
Ga4 0.279 0.112 0.494
Ga5 0.321 0.551 0.128
Ga6 0.494 0.279 0.112
Ga7 0.551 0.128 0.321
Ga8 0.612 0.779 0.994
Ga9 0.628 0.051 0.821
Ga10 0.779 0.994 0.612
Ga11 0.821 0.628 0.051
Ga12 0.994 0.612 0.779
Br1 0.024 0.836 0.857
Br2 0.032 0.973 0.434
Br3 0.213 0.750 0.496
Br4 0.214 0.913 0.261
Br5 0.250 0.713 0.996
Br6 0.261 0.214 0.913
Br7 0.336 0.524 0.357
Br8 0.357 0.336 0.524
Br9 0.413 0.714 0.761
Br10 0.434 0.032 0.973
Br11 0.473 0.532 0.934
Br12 0.496 0.213 0.750
Br13 0.524 0.357 0.336
Br14 0.532 0.934 0.473
Br15 0.713 0.996 0.250
Br16 0.714 0.761 0.413
Br17 0.750 0.496 0.213
Br18 0.761 0.413 0.714
Br19 0.836 0.857 0.024
Br20 0.857 0.024 0.836
Br21 0.913 0.261 0.214
Br22 0.934 0.473 0.532
Br23 0.973 0.434 0.032
Br24 0.996 0.250 0.713

No. 6
GaGe3Br | SCAN | PBEsol geometry

## Properties
Final energy = -89.66 eV/cell
Formation energy from raw total energies = 681.3 meV/atom

Cell: 4.968 4.968 4.968 Å, 90.00 90.00 90.00°
Fractional positions:
Ga1 0.000 0.000 0.000
Ge1 0.000 0.000 0.500
Ge2 0.000 0.500 0.000
Ge3 0.500 0.000 0.000
Br1 0.500 0.500 0.500